No. 1
A plane-wave DFT calculation with GGA-PBE was carried out for TmZr5Sc after structural relaxation.

Structure (POSCAR):
```
TmZr5Sc
1.0
5.073 -5.880 0.000
5.073 5.880 0.000
-1.946 0.000 5.871
Tm Zr Sc
2 10 2
Direct
0.156 0.844 0.750 Tm
0.844 0.156 0.250 Tm
0.106 0.894 0.250 Zr
0.224 0.281 0.633 Zr
0.281 0.224 0.133 Zr
0.347 0.602 0.464 Zr
0.398 0.653 0.036 Zr
0.602 0.347 0.964 Zr
0.653 0.398 0.536 Zr
0.719 0.776 0.867 Zr
0.776 0.719 0.367 Zr
0.894 0.106 0.750 Zr
0.000 0.500 0.000 Sc
0.500 0.000 0.500 Sc
```

Computed properties:
As for the formation enthalpy at 0 K: 0.206 eV per atom.


No. 2
A plane-wave DFT calculation with GGA-PBE was carried out for Pa2VCoS5 after structural relaxation.

Structure (POSCAR):
```
Pa2VCoS5
1.0
1.843 -7.698 0.000
1.843 7.698 0.000
0.000 0.000 11.079
Pa V Co S
4 2 2 10
Direct
0.111 0.889 0.500 Pa
0.122 0.878 0.859 Pa
0.878 0.122 0.359 Pa
0.889 0.111 0.000 Pa
0.176 0.824 0.175 V
0.824 0.176 0.675 V
0.439 0.561 0.584 Co
0.561 0.439 0.084 Co
0.018 0.982 0.178 S
0.304 0.696 0.529 S
0.306 0.694 0.828 S
0.338 0.662 0.177 S
0.499 0.501 0.911 S
0.501 0.499 0.411 S
0.662 0.338 0.677 S
0.694 0.306 0.328 S
0.696 0.304 0.029 S
0.982 0.018 0.678 S
```

Computed properties:
The calculation puts the formation energy from raw total energies at -122 kJ per mole of atoms.


Calculated total DFT energy (no corrections), -104.2, -134.4 eV/cell (same order as the records).